Cu3Os: relaxed, PBE-GGA.

The space group is Fm-3m (No. 225) and the conventional cell measures 5.893, 5.893 and 5.893 Å, with angles of 90.00, 90.00 and 90.00 degrees. The distinct sites, in fractional coordinates, are Cu at (0.000, 0.000, 0.000), Cu at (0.250, 0.250, 0.250) and Os at (0.000, 0.000, 0.500).

The formation energy comes out at 0.49 eV per atom. The value obtained for the density of states at the Fermi level is 0.67 states/eV per atom.